# 1
Compound: ReAgC2
Source: Alexandria
Functional: PBE
Structure: relaxed

Cell and atoms, written as POSCAR:
```
ReAgC2
1.0
4.937 0.000 0.000
0.000 4.937 0.000
2.469 2.469 4.696
Re C Ag
2 4 2
Direct
0.000 0.000 0.000
0.750 0.250 0.500
0.691 0.125 0.250
0.059 0.625 0.250
0.375 0.309 0.750
0.875 0.941 0.750
0.500 0.500 0.000
0.250 0.750 0.500
```

=====

# 2
Compound: La4Ag5Ir2
Source: Alexandria
Functional: PBE
Structure: relaxed

Cell and atoms, written as POSCAR:
```
La4Ag5Ir2
1.0
-0.175 2.502 3.049
-5.857 3.603 -3.292
-5.383 -5.937 4.562
La Ag Ir
4 5 2
Direct
0.500 0.223 0.432
0.500 0.807 0.146
0.500 0.777 0.568
0.500 0.193 0.854
0.000 0.458 0.672
0.000 0.816 0.858
0.000 0.500 0.000
0.000 0.184 0.142
0.000 0.542 0.328
0.000 0.928 0.351
0.000 0.072 0.649
```

=====

no.,VASP energy (eV for the cell shown),calculated formation energy (eV/atom),magnetic moment (Bohr magnetons per cell)
1,-59.85,0.96,0.00
2,-56.22,-0.41,0.00